The following is a DFT calculation (GGA-PBE) of a geometry-optimized LiPuMgRh structure.

Space-group type   F-43m (216)
Formation enthalpy at 0 K   -0.1807 eV per atom

Structure (CIF):
```
data_LiPuMgRh
_chemical_formula_sum 'Li1 Pu1 Mg1 Rh1'
_symmetry_space_group_name_H-M 'P 1'
_symmetry_Int_Tables_number 1
_cell_length_a 4.765
_cell_length_b 4.765
_cell_length_c 4.765
_cell_angle_alpha 60.00
_cell_angle_beta 60.00
_cell_angle_gamma 60.00
loop_
_symmetry_equiv_pos_as_xyz
'x,y,z'
loop_
_atom_site_label
_atom_site_type_symbol
_atom_site_fract_x
_atom_site_fract_y
_atom_site_fract_z
_atom_site_occupancy
Mg1 Mg 0.000 0.000 0.000 1
Li1 Li 0.750 0.750 0.750 1
Pu1 Pu 0.500 0.500 0.500 1
Rh1 Rh 0.250 0.250 0.250 1
```

***

The following is a DFT calculation (GGA-PBE) of a geometry-optimized CsInHg2Au structure.

Relative energy among the computed polymorphs   82 meV per atom
Space-group type   P4/mmm (123)
Formation enthalpy at 0 K   -0.1109 eV per atom

Structure (CIF):
```
data_CsInHg2Au
_chemical_formula_sum 'Cs1 In1 Hg2 Au1'
_symmetry_space_group_name_H-M 'P 1'
_symmetry_Int_Tables_number 1
_cell_length_a 5.607
_cell_length_b 5.607
_cell_length_c 5.519
_cell_angle_alpha 90.00
_cell_angle_beta 90.00
_cell_angle_gamma 90.00
loop_
_symmetry_equiv_pos_as_xyz
'x,y,z'
loop_
_atom_site_label
_atom_site_type_symbol
_atom_site_fract_x
_atom_site_fract_y
_atom_site_fract_z
_atom_site_occupancy
Hg1 Hg 0.000 0.500 0.000 1
Hg2 Hg 0.500 0.000 0.000 1
Au1 Au 0.000 0.000 0.000 1
Cs1 Cs 0.500 0.500 0.500 1
In1 In 0.000 0.000 0.500 1
```

***

The following is a DFT calculation (GGA-PBE) of a geometry-optimized Tm2HgPb3 structure.

Relative energy among the computed polymorphs   0 meV per atom
Space-group type   Cmmm (65)
Formation enthalpy at 0 K   -0.3398 eV per atom

Structure (CIF):
```
data_Tm2HgPb3
_chemical_formula_sum 'Tm2 Hg1 Pb3'
_symmetry_space_group_name_H-M 'P 1'
_symmetry_Int_Tables_number 1
_cell_length_a 4.530
_cell_length_b 4.597
_cell_length_c 8.090
_cell_angle_alpha 90.00
_cell_angle_beta 106.26
_cell_angle_gamma 90.00
loop_
_symmetry_equiv_pos_as_xyz
'x,y,z'
loop_
_atom_site_label
_atom_site_type_symbol
_atom_site_fract_x
_atom_site_fract_y
_atom_site_fract_z
_atom_site_occupancy
Pb1 Pb 0.326 0.000 0.653 1
Pb2 Pb 0.500 0.500 0.000 1
Pb3 Pb 0.674 0.000 0.347 1
Tm1 Tm 0.849 0.500 0.698 1
Tm2 Tm 0.151 0.500 0.302 1
Hg1 Hg 0.000 0.000 0.000 1
```

***

Number 1: total energy -6.48 eV per atom. Number 2: total energy -1.61 eV per atom. Number 3: total energy -3.73 eV per atom.